(1)
Below is a relaxed TlGaCl crystal, with properties calculated at the PBE-GGA level.

Values from the calculation:
- ΔE_f (raw): -0.39 eV/atom
- M_tot: 0.000 Bohr magnetons per cell
- E_tot: -2.80 eV/atom

Lattice parameters (Å, degrees): 5.7797 3.6518 7.9508 90.00 90.61 90.00
Fractional positions:
1 Tl 0.2425 0.2500 0.4325
2 Tl 0.7575 0.7500 0.5675
3 Ga 0.3121 0.2500 0.8091
4 Ga 0.6879 0.7500 0.1909
5 Cl 0.2562 0.7500 0.0542
6 Cl 0.7438 0.2500 0.9458

***

(2)
Below is a relaxed TlGaCl2 crystal, with properties calculated at the PBE-GGA level.

Values from the calculation:
- E above lowest polymorph: 8 meV per atom
- ΔE_f (raw): -0.83 eV/atom
- M_tot: 0.000 Bohr magnetons per cell
- E_tot: -3.10 eV/atom

Lattice parameters (Å, degrees): 8.0066 8.0066 8.0066 31.44 31.44 31.44
Fractional positions:
1 Tl 0.0000 0.0000 0.0000
2 Ga 0.1676 0.1676 0.1676
3 Cl 0.5779 0.5779 0.5779
4 Cl 0.7572 0.7572 0.7572

***

(3)
Below is a relaxed Tl2GaCl4 crystal, with properties calculated at the PBE-GGA level.

Values from the calculation:
- E above lowest polymorph: 79 meV per atom
- ΔE_f (raw): -0.87 eV/atom
- M_tot: 0.891 Bohr magnetons per cell
- E_tot: -3.03 eV/atom

Lattice parameters (Å, degrees): 7.7759 7.7759 7.7759 121.35 121.35 87.67
Fractional positions:
1 Tl 0.2500 0.7500 0.5000
2 Tl 0.7500 0.2500 0.5000
3 Ga 0.0000 0.0000 0.0000
4 Cl 0.0758 0.6906 0.0000
5 Cl 0.3094 0.3094 0.3851
6 Cl 0.6906 0.0758 0.0000
7 Cl 0.9242 0.9242 0.6149

***

(4)
Below is a relaxed Tl3Ga5Cl12 crystal, with properties calculated at the PBE-GGA level.

Values from the calculation:
- ΔE_f (raw): -0.90 eV/atom
- M_tot: 0.000 Bohr magnetons per cell
- E_tot: -3.12 eV/atom

Lattice parameters (Å, degrees): 14.9276 14.9276 14.9276 109.47 109.47 109.47
Fractional positions:
1 Tl 0.1250 0.2500 0.3750
2 Tl 0.1250 0.3750 0.7500
3 Tl 0.2500 0.3750 0.1250
4 Tl 0.2500 0.8750 0.6250
5 Tl 0.3750 0.1250 0.2500
6 Tl 0.3750 0.7500 0.1250
7 Tl 0.6250 0.2500 0.8750
8 Tl 0.6250 0.8750 0.7500
9 Tl 0.7500 0.1250 0.3750
10 Tl 0.7500 0.6250 0.8750
11 Tl 0.8750 0.6250 0.2500
12 Tl 0.8750 0.7500 0.6250
13 Ga 0.0000 0.0000 0.0000
14 Ga 0.0000 0.0000 0.5000
15 Ga 0.0000 0.5000 0.0000
16 Ga 0.0000 0.5000 0.5000
17 Ga 0.1250 0.7500 0.8750
18 Ga 0.1250 0.8750 0.2500
19 Ga 0.2500 0.1250 0.8750
20 Ga 0.2500 0.6250 0.3750
21 Ga 0.3750 0.2500 0.6250
22 Ga 0.3750 0.6250 0.7500
23 Ga 0.5000 0.0000 0.0000
24 Ga 0.5000 0.0000 0.5000
25 Ga 0.5000 0.5000 0.0000
26 Ga 0.5000 0.5000 0.5000
27 Ga 0.6250 0.3750 0.2500
28 Ga 0.6250 0.7500 0.3750
29 Ga 0.7500 0.3750 0.6250
30 Ga 0.7500 0.8750 0.1250
31 Ga 0.8750 0.1250 0.7500
32 Ga 0.8750 0.2500 0.1250
33 Cl 0.0137 0.2138 0.1176
34 Cl 0.0137 0.2999 0.8961
35 Cl 0.0962 0.7138 0.7001
36 Cl 0.0962 0.8824 0.3961
37 Cl 0.1039 0.6176 0.4038
38 Cl 0.1039 0.9863 0.7001
39 Cl 0.1176 0.0137 0.2138
40 Cl 0.1176 0.6039 0.9038
41 Cl 0.2001 0.2138 0.5962
42 Cl 0.2001 0.4863 0.6039
43 Cl 0.2138 0.1176 0.0137
44 Cl 0.2138 0.5962 0.2001
45 Cl 0.2862 0.2999 0.9038
46 Cl 0.2862 0.4863 0.3824
47 Cl 0.2999 0.8961 0.0137
48 Cl 0.2999 0.9038 0.2862
49 Cl 0.3824 0.2862 0.4863
50 Cl 0.3824 0.5962 0.8961
51 Cl 0.3961 0.0962 0.8824
52 Cl 0.3961 0.7999 0.5137
53 Cl 0.4038 0.1039 0.6176
54 Cl 0.4038 0.7999 0.7862
55 Cl 0.4863 0.3824 0.2862
56 Cl 0.4863 0.6039 0.2001
57 Cl 0.5137 0.3961 0.7999
58 Cl 0.5137 0.6176 0.7138
59 Cl 0.5962 0.2001 0.2138
60 Cl 0.5962 0.8961 0.3824
61 Cl 0.6039 0.2001 0.4863
62 Cl 0.6039 0.9038 0.1176
63 Cl 0.6176 0.4038 0.1039
64 Cl 0.6176 0.7138 0.5137
65 Cl 0.7001 0.0962 0.7138
66 Cl 0.7001 0.1039 0.9863
67 Cl 0.7138 0.5137 0.6176
68 Cl 0.7138 0.7001 0.0962
69 Cl 0.7862 0.4038 0.7999
70 Cl 0.7862 0.8824 0.9863
71 Cl 0.7999 0.5137 0.3961
72 Cl 0.7999 0.7862 0.4038
73 Cl 0.8824 0.3961 0.0962
74 Cl 0.8824 0.9863 0.7862
75 Cl 0.8961 0.0137 0.2999
76 Cl 0.8961 0.3824 0.5962
77 Cl 0.9038 0.1176 0.6039
78 Cl 0.9038 0.2862 0.2999
79 Cl 0.9863 0.7001 0.1039
80 Cl 0.9863 0.7862 0.8824

***

(5)
Below is a relaxed TlGa3Cl8 crystal, with properties calculated at the PBE-GGA level.

Values from the calculation:
- ΔE_f (raw): -1.08 eV/atom
- M_tot: 0.000 Bohr magnetons per cell
- E_tot: -3.27 eV/atom

Lattice parameters (Å, degrees): 6.6199 6.6199 10.1517 91.92 91.92 68.98
Fractional positions:
1 Tl 0.0000 0.0000 0.0000
2 Ga 0.0000 0.0000 0.5000
3 Ga 0.3920 0.3920 0.7403
4 Ga 0.6080 0.6080 0.2597
5 Cl 0.2481 0.7279 0.2620
6 Cl 0.2721 0.7519 0.7380
7 Cl 0.2756 0.2756 0.5595
8 Cl 0.2967 0.2967 0.9264
9 Cl 0.7033 0.7033 0.0736
10 Cl 0.7244 0.7244 0.4405
11 Cl 0.7279 0.2481 0.2620
12 Cl 0.7519 0.2721 0.7380

***

(6)
Below is a relaxed TlGaCl3 crystal, with properties calculated at the PBE-GGA level.

Values from the calculation:
- ΔE_f (raw): -1.08 eV/atom
- M_tot: 0.000 Bohr magnetons per cell
- E_tot: -3.27 eV/atom

Lattice parameters (Å, degrees): 7.5713 8.5570 12.1833 90.00 122.30 90.00
Fractional positions:
1 Tl 0.2334 0.1280 0.2597
2 Tl 0.2334 0.3720 0.7597
3 Tl 0.7666 0.6280 0.2403
4 Tl 0.7666 0.8720 0.7403
5 Ga 0.1334 0.5961 0.0634
6 Ga 0.1334 0.9039 0.5634
7 Ga 0.8666 0.0961 0.4366
8 Ga 0.8666 0.4039 0.9366
9 Cl 0.0158 0.1858 0.9136
10 Cl 0.0158 0.3142 0.4136
11 Cl 0.3074 0.6795 0.9707
12 Cl 0.3074 0.8205 0.4707
13 Cl 0.3846 0.5155 0.2639
14 Cl 0.3846 0.9845 0.7639
15 Cl 0.6154 0.0155 0.2361
16 Cl 0.6154 0.4845 0.7361
17 Cl 0.6926 0.1795 0.5293
18 Cl 0.6926 0.3205 0.0293
19 Cl 0.9842 0.6858 0.5864
20 Cl 0.9842 0.8142 0.0864

***

(7)
Below is a relaxed TlGaCl2 crystal, with properties calculated at the PBE-GGA level.

Values from the calculation:
- E above lowest polymorph: 59 meV per atom
- ΔE_f (raw): -0.78 eV/atom
- M_tot: 0.000 Bohr magnetons per cell
- E_tot: -3.05 eV/atom

Lattice parameters (Å, degrees): 5.3490 5.3490 5.3490 60.00 60.00 60.00
Fractional positions:
1 Tl 0.0000 0.0000 0.0000
2 Ga 0.5000 0.5000 0.5000
3 Cl 0.2500 0.2500 0.2500
4 Cl 0.7500 0.7500 0.7500

***

(8)
Below is a relaxed Tl2GaCl2 crystal, with properties calculated at the PBE-GGA level.

Values from the calculation:
- ΔE_f (raw): -0.56 eV/atom
- M_tot: 0.000 Bohr magnetons per cell
- E_tot: -2.85 eV/atom

Lattice parameters (Å, degrees): 8.1473 8.1473 4.5559 90.00 90.00 90.00
Fractional positions:
1 Tl 0.1628 0.3372 0.0000
2 Tl 0.3372 0.8372 0.0000
3 Tl 0.6628 0.1628 0.0000
4 Tl 0.8372 0.6628 0.0000
5 Ga 0.0000 0.0000 0.5000
6 Ga 0.5000 0.5000 0.5000
7 Cl 0.1589 0.6589 0.5000
8 Cl 0.3411 0.1589 0.5000
9 Cl 0.6589 0.8411 0.5000
10 Cl 0.8411 0.3411 0.5000